(1)
The following is a DFT calculation (PBE) of a geometry-optimized KLi2ZnCu structure.

a = 5.510 Å, b = 5.295 Å, c = 5.510 Å
α = 90.00°, β = 90.00°, γ = 90.00°
Fractional positions:
1 Li 0.500 0.000 0.000
2 Li 0.000 0.000 0.500
3 K 0.000 0.000 0.000
4 Cu 0.000 0.500 0.000
5 Zn 0.500 0.500 0.500

Results
The volume is 160.73 Å³ per cell. The density of states at the Fermi level is 2.74 states/eV/cell. The formation energy from the elements is 0.99 eV per atom. Its crystal system is tetragonal. The total energy is -5.3 eV for the cell shown. The total magnetization is 0.00 μB/f.u.

=====

(2)
The following is a DFT calculation (PBE) of a geometry-optimized Ac6WSe12 structure.

a = 8.642 Å, b = 8.642 Å, c = 8.642 Å
α = 98.30°, β = 98.30°, γ = 98.30°
Fractional positions:
1 Se 0.298 0.058 0.986
2 Ac 0.692 0.861 0.366
3 Se 0.986 0.298 0.058
4 Ac 0.139 0.634 0.308
5 Se 0.418 0.822 0.564
6 Se 0.942 0.014 0.702
7 W 0.000 0.000 0.000
8 Ac 0.861 0.366 0.692
9 Se 0.582 0.178 0.436
10 Se 0.014 0.702 0.942
11 Se 0.436 0.582 0.178
12 Se 0.822 0.564 0.418
13 Se 0.702 0.942 0.014
14 Se 0.564 0.418 0.822
15 Ac 0.308 0.139 0.634
16 Ac 0.366 0.692 0.861
17 Ac 0.634 0.308 0.139
18 Se 0.058 0.986 0.298
19 Se 0.178 0.436 0.582

Results
The volume is 623.02 Å³ per cell. The density of states at the Fermi level is 0.73 states/eV/cell. Its crystal system is trigonal. The total energy is -109.1 eV for the cell shown. The total magnetization is 0.00 μB/f.u. The formation energy without anion corrections is -1562 meV/atom.